Compound: LiSc2Si
Source: Alexandria via LeMat-Bulk
Functional: PBE
Structure: optimized geometry

The structure in POSCAR format:
```
LiSc2Si
1.0
5.612 -0.046 -0.001
4.574 3.253 -0.001
1.747 0.550 4.024
Li Sc Si
1 2 1
Direct
0.214 0.214 0.285
0.997 0.997 0.003
0.767 0.767 0.733
0.522 0.522 0.478
```

Summary:
formation energy without anion corrections: -0.261 eV/atom
space-group type: No. 44


Compound: LiSc2Si
Source: Alexandria via LeMat-Bulk
Functional: PBE
Structure: optimized geometry

The structure in POSCAR format:
```
LiSc2Si
1.0
4.563 0.012 -0.010
3.492 2.936 -0.010
0.785 0.287 6.029
Li Si Sc
1 1 2
Direct
0.250 0.250 0.250
0.750 0.750 0.750
0.015 0.015 0.971
0.485 0.485 0.529
```

Summary:
formation energy without anion corrections: -0.155 eV/atom
space-group type: No. 12


Compound: LiScSi
Source: Alexandria via LeMat-Bulk
Functional: PBE
Structure: optimized geometry

The structure in POSCAR format:
```
LiScSi
1.0
4.473 0.000 0.000
0.000 1.677 -7.032
0.000 1.677 7.032
Li Sc Si
2 2 2
Direct
0.000 0.016 0.984
0.000 0.672 0.328
0.500 0.192 0.808
0.500 0.882 0.118
0.500 0.543 0.457
0.000 0.317 0.683
```

Summary:
formation energy without anion corrections: -0.347 eV/atom
space-group type: No. 38


Compound: LiScSi
Source: Alexandria via LeMat-Bulk
Functional: PBE
Structure: optimized geometry

The structure in POSCAR format:
```
LiScSi
1.0
8.750 0.000 -0.059
5.198 1.568 -4.130
-5.198 1.568 4.130
Si Sc Li
2 2 2
Direct
0.470 0.034 0.966
0.962 0.563 0.437
0.903 0.266 0.734
0.211 0.798 0.202
0.696 0.083 0.917
0.400 0.415 0.585
```

Summary:
formation energy without anion corrections: -0.269 eV/atom
space-group type: No. 8


Compound: LiScSi
Source: Alexandria via LeMat-Bulk
Functional: PBE
Structure: optimized geometry

The structure in POSCAR format:
```
LiScSi
1.0
-1.324 4.073 -1.167
0.866 -3.033 -3.124
-5.807 -1.837 0.174
Si Li Sc
2 2 2
Direct
0.333 0.667 0.771
0.667 0.333 0.208
0.000 0.000 0.514
0.667 0.333 0.661
0.333 0.667 0.311
0.000 0.000 0.976
```

Summary:
formation energy without anion corrections: -0.461 eV/atom
space-group type: No. 156


Compound: LiScSi
Source: Alexandria via LeMat-Bulk
Functional: PBE
Structure: optimized geometry

The structure in POSCAR format:
```
LiScSi
1.0
-2.438 -3.521 -1.133
-0.866 -3.150 2.992
-4.103 -0.463 1.605
Si Li Sc
1 1 1
Direct
0.500 0.500 0.500
0.250 0.250 0.250
0.750 0.750 0.750
```

Summary:
formation energy without anion corrections: -0.390 eV/atom
space-group type: No. 216


Compound: LiScSi
Source: Alexandria via LeMat-Bulk
Functional: PBE
Structure: optimized geometry

The structure in POSCAR format:
```
LiScSi
1.0
-2.157 0.518 -4.079
-2.375 -1.457 3.714
-0.678 2.985 0.737
Si Li Sc
1 1 1
Direct
0.333 0.667 0.000
0.667 0.333 0.500
0.000 0.000 0.000
```

Summary:
formation energy without anion corrections: -0.047 eV/atom
space-group type: No. 187


Compound: LiScSi3
Source: Alexandria via LeMat-Bulk
Functional: PBE
Structure: optimized geometry

The structure in POSCAR format:
```
LiScSi3
1.0
-2.662 1.686 -3.916
3.251 -2.184 -3.151
-2.759 -4.202 0.066
Si Sc Li
3 1 1
Direct
0.500 0.000 0.000
0.000 0.500 0.000
0.000 0.000 0.500
0.000 0.000 0.000
0.500 0.500 0.500
```

Summary:
formation energy without anion corrections: 0.660 eV/atom
space-group type: No. 221


Compound: LiSc2Si
Source: Alexandria via LeMat-Bulk
Functional: PBE
Structure: optimized geometry

The structure in POSCAR format:
```
LiSc2Si
1.0
1.902 0.000 9.836
-0.951 1.647 9.836
-0.951 -1.647 9.836
Si Sc Li
1 2 1
Direct
0.500 0.500 0.500
0.898 0.898 0.898
0.102 0.102 0.102
0.000 0.000 0.000
```

Summary:
formation energy without anion corrections: -0.014 eV/atom
space-group type: No. 166


Compound: LiScSi
Source: Alexandria via LeMat-Bulk
Functional: PBE
Structure: optimized geometry

The structure in POSCAR format:
```
LiScSi
1.0
-4.686 -1.855 2.866
1.733 -3.167 0.784
1.343 1.898 4.702
Si Li Sc
2 2 2
Direct
0.966 0.000 0.310
0.846 0.500 0.055
0.200 0.500 0.498
0.069 0.000 0.802
0.677 0.500 0.597
0.486 0.000 0.136
```

Summary:
formation energy without anion corrections: -0.220 eV/atom
space-group type: No. 6


Compound: Li3ScSi
Source: Alexandria via LeMat-Bulk
Functional: PBE
Structure: optimized geometry

The structure in POSCAR format:
```
Li3ScSi
1.0
-0.676 -0.123 -4.904
4.413 -2.176 -0.554
-2.141 -4.446 0.407
Si Li Sc
1 3 1
Direct
0.500 0.500 0.500
0.000 0.500 0.000
0.000 0.000 0.500
0.500 0.000 0.000
0.000 0.000 0.000
```

Summary:
formation energy without anion corrections: 1.209 eV/atom
space-group type: No. 221


Compound: LiScSi
Source: Alexandria via LeMat-Bulk
Functional: PBE
Structure: optimized geometry

The structure in POSCAR format:
```
LiScSi
1.0
-0.195 2.255 3.613
1.387 -5.215 3.329
4.193 -0.707 3.183
Li Sc Si
2 2 2
Direct
0.291 0.523 0.419
0.291 0.058 0.419
0.937 0.937 0.126
0.976 0.476 0.048
0.623 0.343 0.754
0.623 0.903 0.754
```

Summary:
formation energy without anion corrections: -0.449 eV/atom
space-group type: No. 44


Question: The lowest formation energy without anion corrections belongs to which entry?
Answer: number 5